1 | Here is La4Hg2S after structural relaxation from Alexandria. Energies are from GGA-PBE.

Computed properties:
theoretical density = 7.523 g cm⁻³

Cell lengths 13.4461, 4.2203, 9.1464 Å; angles 90.00, 122.74, 90.00 degrees
With the nearest neighbours (Å) after each atom.
Space group C2/m (No. 12)
One atom of each set of equivalent atoms:
1 La 0.0856 0.0000 0.3659 [4 per cell]  1 S 2.89
2 La 0.1642 0.5000 0.0761 [4 per cell]  2 S 2.85
3 Hg 0.1259 0.5000 0.6759 [4 per cell]  1 Hg 3.17, 7 La 3.26-3.41
4 S 0.0000 0.0000 0.0000 [2 per cell]  6 La 2.85-2.89


2 | Here is La4Hg2S after structural relaxation from Alexandria. Energies are from GGA-PBE.

Computed properties:
theoretical density = 6.946 g cm⁻³

Cell lengths 5.5356, 5.5356, 15.4292 Å; angles 90.00, 90.00, 90.00 degrees
With the nearest neighbours (Å) after each atom.
Space group I4/mmm (No. 139)
One atom of each set of equivalent atoms:
1 La 0.0000 0.0000 0.1864 [4 per cell]  1 S 2.88, 1 Hg 3.07
2 La 0.0000 0.5000 0.0000 [4 per cell]  2 S 2.77
3 Hg 0.0000 0.0000 0.3851 [4 per cell]  5 La 3.07-3.29
4 S 0.0000 0.0000 0.0000 [2 per cell]  6 La 2.77-2.88


Stability, lowest: 2


1 | Here is La2Hg2Sb after structural relaxation from Alexandria. Energies are from GGA-PBE.

Computed properties:
theoretical density = 7.988 g cm⁻³

Cell lengths 8.0085, 4.6001, 9.0462 Å; angles 90.00, 92.64, 90.00 degrees
With the nearest neighbours (Å) after each atom.
Space group C2/m (No. 12)
One atom of each set of equivalent atoms:
1 La 0.1773 0.0000 0.2014 [4 per cell]  4 Hg 3.22-3.51, 3 Sb 3.22-3.23
2 Hg 0.1606 0.0000 0.5887 [4 per cell]  3 Hg 2.97-3.18, 2 La 3.22
3 Sb 0.0000 0.5000 0.0000 [2 per cell]  6 La 3.22-3.23


2 | Here is La2Hg2Sb after structural relaxation from Alexandria. Energies are from GGA-PBE.

Computed properties:
theoretical density = 8.922 g cm⁻³

Cell lengths 8.0525, 8.0525, 4.5969 Å; angles 90.00, 90.00, 90.00 degrees
With the nearest neighbours (Å) after each atom.
Space group P4/mbm (No. 127)
One atom of each set of equivalent atoms:
1 La 0.1715 0.3285 0.0000 [4 per cell]  6 Hg 3.24-3.35
2 Hg 0.1281 0.6282 0.5000 [4 per cell]  1 Hg 2.92, 2 Sb 3.17, 2 La 3.24
3 Sb 0.0000 0.0000 0.5000 [2 per cell]  4 Hg 3.17


3 | Here is La2Hg2Sb after structural relaxation from Alexandria. Energies are from GGA-PBE.

Computed properties:
theoretical density = 8.267 g cm⁻³

Cell lengths 8.3414, 8.3414, 4.6235 Å; angles 90.00, 90.00, 90.00 degrees
With the nearest neighbours (Å) after each atom.
Space group P4/mbm (No. 127)
One atom of each set of equivalent atoms:
1 La 0.1533 0.3467 0.0000 [4 per cell]  2 Sb 3.16, 6 Hg 3.31-3.40
2 Hg 0.1462 0.6462 0.5000 [4 per cell]  6 La 3.31-3.40, 1 Hg 3.45
3 Sb 0.0000 0.0000 0.0000 [2 per cell]  4 La 3.16


Stability, lowest: 3


1 | Here is LaHg2Sb2 after structural relaxation from Alexandria. Energies are from GGA-PBE.

Computed properties:
theoretical density = 9.397 g cm⁻³

Cell lengths 4.5813, 26.4819, 4.5652 Å; angles 90.00, 90.00, 90.00 degrees
With the nearest neighbours (Å) after each atom.
Space group Cmcm (No. 63)
One atom of each set of equivalent atoms:
1 La 0.0000 0.1521 0.2500 [4 per cell]  8 Sb 3.25-3.46, 2 Hg 3.62
2 Hg 0.0000 0.0443 0.7500 [4 per cell]  8 Hg 3.23-3.31, 2 Sb 3.40
3 Hg 0.0000 0.4539 0.7500 [4 per cell]  8 Hg 3.23-3.34, 2 Sb 3.36
4 Sb 0.0000 0.2502 0.7500 [4 per cell]  4 Sb 3.23, 4 La 3.45-3.46
5 Sb 0.0000 0.3609 0.2500 [4 per cell]  4 La 3.25, 4 Hg 3.36-3.40


2 | Here is LaHg2Sb2 after structural relaxation from Alexandria. Energies are from GGA-PBE.

Computed properties:
theoretical density = 8.109 g cm⁻³

Cell lengths 4.3052, 4.3052, 17.3153 Å; angles 90.00, 90.00, 90.00 degrees
With the nearest neighbours (Å) after each atom.
Space group I4/mmm (No. 139)
One atom of each set of equivalent atoms:
1 La 0.0000 0.0000 0.0000 [2 per cell]  8 Sb 3.37
2 Hg 0.0000 0.5000 0.2500 [4 per cell]  4 Hg 3.04
3 Sb 0.0000 0.0000 0.4168 [4 per cell]  1 Sb 2.88


3 | Here is LaHg2Sb2 after structural relaxation from Alexandria. Energies are from GGA-PBE.

Computed properties:
theoretical density = 9.434 g cm⁻³

Cell lengths 8.2385, 8.2385, 4.0643 Å; angles 90.00, 90.00, 90.00 degrees
With the nearest neighbours (Å) after each atom.
Space group P4/mbm (No. 127)
One atom of each set of equivalent atoms:
1 La 0.0000 0.0000 0.0000 [2 per cell]  4 Hg 3.28, 8 Sb 3.63
2 Hg 0.1215 0.3785 0.0000 [4 per cell]  1 Hg 2.83, 2 Sb 3.05
3 Sb 0.1836 0.6836 0.5000 [4 per cell]  6 Hg 3.05-3.27


4 | Here is LaHg2Sb2 after structural relaxation from Alexandria. Energies are from GGA-PBE.

Computed properties:
theoretical density = 9.146 g cm⁻³

Cell lengths 8.2957, 8.2957, 4.1345 Å; angles 90.00, 90.00, 90.00 degrees
With the nearest neighbours (Å) after each atom.
Space group P4/mbm (No. 127)
One atom of each set of equivalent atoms:
1 La 0.0000 0.0000 0.0000 [2 per cell]  4 Sb 3.25
2 Hg 0.1645 0.3355 0.5000 [4 per cell]  6 Sb 3.17-3.22
3 Sb 0.1309 0.6309 0.0000 [4 per cell]  1 Sb 3.07, 6 Hg 3.17-3.22, 2 La 3.25


Stability, lowest: 4


1 | Here is La2HgSb2 after structural relaxation from Alexandria. Energies are from GGA-PBE.

Computed properties:
theoretical density = 7.682 g cm⁻³

Cell lengths 8.5547, 8.5547, 4.2649 Å; angles 90.00, 90.00, 90.00 degrees
With the nearest neighbours (Å) after each atom.
Space group P4/mbm (No. 127)
One atom of each set of equivalent atoms:
1 La 0.1565 0.3435 0.0000 [4 per cell]  6 Sb 3.17-3.38
2 Hg 0.0000 0.0000 0.5000 [2 per cell]  4 Sb 3.26
3 Sb 0.1496 0.6496 0.5000 [4 per cell]  6 La 3.17-3.38, 2 Hg 3.26


2 | Here is La2HgSb2 after structural relaxation from Alexandria. Energies are from GGA-PBE.

Computed properties:
theoretical density = 6.685 g cm⁻³

Cell lengths 6.1917, 6.1917, 9.3552 Å; angles 90.00, 90.00, 90.00 degrees
With the nearest neighbours (Å) after each atom.
Space group I4/mmm (No. 139)
One atom of each set of equivalent atoms:
1 La 0.0000 0.5000 0.2500 [4 per cell]  4 Sb 3.19
2 Hg 0.0000 0.0000 0.0000 [2 per cell]  2 Sb 3.11
3 Sb 0.0000 0.0000 0.3323 [4 per cell]  1 Hg 3.11, 1 Sb 3.14, 4 La 3.19


3 | Here is La2HgSb2 after structural relaxation from Alexandria. Energies are from GGA-PBE.

Computed properties:
theoretical density = 7.436 g cm⁻³

Cell lengths 8.7735, 8.7735, 4.1889 Å; angles 90.00, 90.00, 90.00 degrees
With the nearest neighbours (Å) after each atom.
Space group P4/mbm (No. 127)
One atom of each set of equivalent atoms:
1 La 0.1460 0.3540 0.0000 [4 per cell]  6 Sb 3.22-3.39, 2 Hg 3.36
2 Hg 0.0000 0.0000 0.0000 [2 per cell]  4 La 3.36
3 Sb 0.1573 0.6573 0.5000 [4 per cell]  6 La 3.22-3.39


Stability, lowest: 2